# KLiLa4 | Alexandria | PBE | relaxed
# Density of states at the Fermi level in states/eV/atom: 1.591
# E_form in eV per atom: 0.465
# Mass density in g cm⁻³: 4.1
# Calculated total energy in eV per atom: -3.32
# Size of the total moment in μB/f.u.: 0.0
data_KLiLa4
_chemical_formula_sum 'K4 Li4 La16'
_cell_length_a 9.924
_cell_length_b 9.924
_cell_length_c 9.924
_cell_angle_alpha 90.00
_cell_angle_beta 90.00
_cell_angle_gamma 90.00
_space_group_name_H-M_alt 'F -4 3 m'
_space_group_IT_number 216
_space_group_name_Hall 'F -4 2 3'
loop_
_atom_site_label
_atom_site_fract_x
_atom_site_fract_y
_atom_site_fract_z
K1 0.000 0.000 0.000
Li1 0.250 0.250 0.250
La1 0.121 0.121 0.621


# Th4CoSeS2 | Alexandria | PBE | relaxed
# Density of states at the Fermi level in states/eV/atom: 0.765
# E_form (uncorrected) in meV per atom: -1358.6
# Mass density in g cm⁻³: 9.6
# Calculated total energy in eV per atom: -7.42
# Size of the total moment in μB/f.u.: 0.0
data_Th4CoSeS2
_chemical_formula_sum 'Th4 Co1 Se1 S2'
_cell_length_a 7.127
_cell_length_b 3.996
_cell_length_c 7.300
_cell_angle_alpha 90.00
_cell_angle_beta 109.06
_cell_angle_gamma 90.00
_space_group_name_H-M_alt 'P 1 2/m 1'
_space_group_IT_number 10
loop_
_space_group_symop_operation_xyz
'x,y,z'
'-x,-y,-z'
'-x,y,-z'
'x,-y,z'
loop_
_atom_site_label
_atom_site_fract_x
_atom_site_fract_y
_atom_site_fract_z
Th1 0.232 0.000 0.224
Th2 0.257 0.500 0.764
Co1 0.000 0.500 0.000
Se1 0.000 0.000 0.500
S1 0.500 0.000 0.000
S2 0.500 0.500 0.500


# AcZnRh2 | Alexandria | PBE | relaxed
# Density of states at the Fermi level in states/eV/atom: 0.649
# E_form in eV per atom: -0.402
# Mass density in g cm⁻³: 10.8
# Calculated total energy in eV per atom: -5.42
# Size of the total moment in μB/f.u.: 0.0
data_AcZnRh2
_chemical_formula_sum 'Ac1 Zn1 Rh2'
_cell_length_a 4.485
_cell_length_b 4.485
_cell_length_c 3.816
_cell_angle_alpha 90.00
_cell_angle_beta 90.00
_cell_angle_gamma 90.00
_space_group_name_H-M_alt 'P 4/m m m'
_space_group_IT_number 123
_space_group_name_Hall '-P 4 2'
loop_
_atom_site_label
_atom_site_fract_x
_atom_site_fract_y
_atom_site_fract_z
Ac1 0.000 0.000 0.000
Zn1 0.500 0.500 0.000
Rh1 0.000 0.500 0.500


# Rb3Bi2Pb9 | Alexandria | PBE | relaxed
# Density of states at the Fermi level in states/eV/atom: 0.417
# E_form in eV per atom: -0.098
# Mass density in g cm⁻³: 8.1
# Calculated total energy in eV per atom: -3.24
# Size of the total moment in μB/f.u.: 0.0
data_Rb3Bi2Pb9
_chemical_formula_sum 'Rb6 Bi4 Pb18'
_cell_length_a 5.367
_cell_length_b 12.577
_cell_length_c 15.359
_cell_angle_alpha 90.00
_cell_angle_beta 90.00
_cell_angle_gamma 90.00
_space_group_name_H-M_alt 'I m m m'
_space_group_IT_number 71
_space_group_name_Hall '-I 2 2'
loop_
_atom_site_label
_atom_site_fract_x
_atom_site_fract_y
_atom_site_fract_z
Rb1 0.000 0.000 0.000
Rb2 0.000 0.000 0.294
Bi1 0.000 0.177 0.500
Pb1 0.000 0.282 0.155
Pb2 0.000 0.362 0.360
Pb3 0.000 0.500 0.000


# BeAgBr2 | Alexandria | PBE | relaxed
# Density of states at the Fermi level in states/eV/atom: 0.313
# E_form (uncorrected) in meV per atom: -78.5
# Mass density in g cm⁻³: 3.8
# Calculated total energy in eV per atom: -2.56
# Size of the total moment in μB/f.u.: 0.0
data_BeAgBr2
_chemical_formula_sum 'Be2 Ag2 Br4'
_cell_length_a 3.387
_cell_length_b 5.263
_cell_length_c 13.694
_cell_angle_alpha 90.00
_cell_angle_beta 90.00
_cell_angle_gamma 90.00
_space_group_name_H-M_alt 'I m m 2'
_space_group_IT_number 44
loop_
_space_group_symop_operation_xyz
'x,y,z'
'-x,-y,z'
'-x,y,z'
'x,-y,z'
'x+1/2,y+1/2,z+1/2'
'-x+1/2,-y+1/2,z+1/2'
'-x+1/2,y+1/2,z+1/2'
'x+1/2,-y+1/2,z+1/2'
loop_
_atom_site_label
_atom_site_fract_x
_atom_site_fract_y
_atom_site_fract_z
Be1 0.000 0.000 0.000
Ag1 0.000 0.500 0.369
Br1 0.000 0.000 0.387
Br2 0.000 0.500 0.604


# MoAuSe2 | Alexandria | PBE | relaxed
# Density of states at the Fermi level in states/eV/atom: 0.800
# E_form (uncorrected) in meV per atom: 243.7
# Mass density in g cm⁻³: 10.2
# Calculated total energy in eV per atom: -5.03
# Size of the total moment in μB/f.u.: 0.0
data_MoAuSe2
_chemical_formula_sum 'Mo1 Au1 Se2'
_cell_length_a 3.256
_cell_length_b 4.021
_cell_length_c 5.622
_cell_angle_alpha 90.00
_cell_angle_beta 90.00
_cell_angle_gamma 90.00
_space_group_name_H-M_alt 'P m m 2'
_space_group_IT_number 25
loop_
_space_group_symop_operation_xyz
'x,y,z'
'-x,-y,z'
'-x,y,z'
'x,-y,z'
loop_
_atom_site_label
_atom_site_fract_x
_atom_site_fract_y
_atom_site_fract_z
Mo1 0.000 0.000 0.000
Au1 0.500 0.500 0.664
Se1 0.000 0.000 0.445
Se2 0.500 0.500 0.122


# AcErLu | Alexandria | PBE | relaxed
# Density of states at the Fermi level in states/eV/atom: 1.487
# E_form in eV per atom: 0.081
# Mass density in g cm⁻³: 9.1
# Calculated total energy in eV per atom: -4.32
# Size of the total moment in μB/f.u.: 0.0
data_AcErLu
_chemical_formula_sum 'Ac2 Er2 Lu2'
_cell_length_a 3.690
_cell_length_b 3.690
_cell_length_c 15.242
_cell_angle_alpha 90.00
_cell_angle_beta 90.00
_cell_angle_gamma 90.00
_space_group_name_H-M_alt 'I 4 m m'
_space_group_IT_number 107
_space_group_name_Hall 'I 4 -2'
loop_
_atom_site_label
_atom_site_fract_x
_atom_site_fract_y
_atom_site_fract_z
Ac1 0.000 0.000 0.000
Er1 0.000 0.000 0.675
Lu1 0.000 0.000 0.327


# Sm2Zn5Ru2Au | Alexandria | PBE | relaxed
# Density of states at the Fermi level in states/eV/atom: 0.607
# E_form in eV per atom: -0.203
# Mass density in g cm⁻³: 9.3
# Calculated total energy in eV per atom: -3.97
# Size of the total moment in μB/f.u.: 0.0
data_Sm2Zn5Ru2Au
_chemical_formula_sum 'Sm4 Zn10 Ru4 Au2'
_cell_length_a 10.107
_cell_length_b 10.107
_cell_length_c 3.577
_cell_angle_alpha 90.00
_cell_angle_beta 90.00
_cell_angle_gamma 90.00
_space_group_name_H-M_alt 'P 4/m b m'
_space_group_IT_number 127
_space_group_name_Hall '-P 4 2ab'
loop_
_atom_site_label
_atom_site_fract_x
_atom_site_fract_y
_atom_site_fract_z
Sm1 0.180 0.320 0.000
Zn1 0.000 0.500 0.500
Zn2 0.054 0.804 0.500
Ru1 0.128 0.628 0.000
Au1 0.000 0.000 0.000


# Ca2Fe2Ni15 | Alexandria | PBE | relaxed
# Density of states at the Fermi level in states/eV/atom: 1.029
# E_form in eV per atom: -0.083
# Mass density in g cm⁻³: 7.3
# Calculated total energy in eV per atom: -5.75
# Size of the total moment in μB/f.u.: 13.3
data_Ca2Fe2Ni15
_chemical_formula_sum 'Ca6 Fe6 Ni45'
_cell_length_a 8.3385
_cell_length_b 8.3385
_cell_length_c 12.1507
_cell_angle_alpha 90.00
_cell_angle_beta 90.00
_cell_angle_gamma 120.00
_space_group_name_H-M_alt 'R -3 m'
_space_group_IT_number 166
_space_group_name_Hall '-R 3 2"'
loop_
_atom_site_label
_atom_site_fract_x
_atom_site_fract_y
_atom_site_fract_z
Ca1 0.0000 0.0000 0.1552
Fe1 0.0000 0.0000 0.4049
Ni1 0.0000 0.2933 0.5000
Ni2 0.0000 0.5000 0.0000
Ni3 0.0056 0.5028 0.3450


# MgAgCl4 | Alexandria | PBE | relaxed
# Density of states at the Fermi level in states/eV/atom: 0.309
# E_form (uncorrected) in meV per atom: -1063.2
# Mass density in g cm⁻³: 2.9
# Calculated total energy in eV per atom: -3.04
# Size of the total moment in μB/f.u.: 1.0
data_MgAgCl4
_chemical_formula_sum 'Mg2 Ag2 Cl8'
_cell_length_a 6.427
_cell_length_b 3.806
_cell_length_c 14.371
_cell_angle_alpha 90.00
_cell_angle_beta 116.40
_cell_angle_gamma 90.00
_space_group_name_H-M_alt 'P 1 21/c 1'
_space_group_IT_number 14
loop_
_space_group_symop_operation_xyz
'x,y,z'
'-x,-y,-z'
'-x,y+1/2,-z+1/2'
'x,-y+1/2,z+1/2'
loop_
_atom_site_label
_atom_site_fract_x
_atom_site_fract_y
_atom_site_fract_z
Mg1 0.000 0.000 0.000
Ag1 0.500 0.000 0.500
Cl1 0.062 0.004 0.394
Cl2 0.422 0.573 0.614


# Dy9Er2Sc | Alexandria | PBE | relaxed
# Density of states at the Fermi level in states/eV/atom: 1.463
# E_form in eV per atom: 0.028
# Mass density in g cm⁻³: 8.3
# Calculated total energy in eV per atom: -4.71
# Size of the total moment in μB/f.u.: 0.0
data_Dy9Er2Sc
_chemical_formula_sum 'Dy9 Er2 Sc1'
_cell_length_a 4.973
_cell_length_b 4.973
_cell_length_c 14.889
_cell_angle_alpha 90.00
_cell_angle_beta 90.00
_cell_angle_gamma 90.00
_space_group_name_H-M_alt 'P 4/m m m'
_space_group_IT_number 123
_space_group_name_Hall '-P 4 2'
loop_
_atom_site_label
_atom_site_fract_x
_atom_site_fract_y
_atom_site_fract_z
Dy1 0.000 0.000 0.000
Dy2 0.000 0.000 0.331
Dy3 0.000 0.500 0.163
Dy4 0.000 0.500 0.500
Er1 0.500 0.500 0.332
Sc1 0.500 0.500 0.000


# MgTc | Alexandria | PBE | relaxed
# Density of states at the Fermi level in states/eV/atom: 1.235
# E_form in eV per atom: 0.316
# Mass density in g cm⁻³: 6.3
# Calculated total energy in eV per atom: -5.66
# Size of the total moment in μB/f.u.: 0.0
data_MgTc
_chemical_formula_sum 'Mg3 Tc3'
_cell_length_a 2.8169
_cell_length_b 2.8169
_cell_length_c 14.0426
_cell_angle_alpha 90.00
_cell_angle_beta 90.00
_cell_angle_gamma 120.00
_space_group_name_H-M_alt 'R -3 m'
_space_group_IT_number 166
_space_group_name_Hall '-R 3 2"'
loop_
_atom_site_label
_atom_site_fract_x
_atom_site_fract_y
_atom_site_fract_z
Mg1 0.0000 0.0000 0.0000
Tc1 0.0000 0.0000 0.5000